[1]
Compound: ScTe2PN
Source: the Alexandria database
Functional: PBE
Structure: relaxed

As for the total magnetic moment: 0.00 μB/atom. The value obtained for the density of states at the Fermi level is 3.34 states/eV per cell. The calculation puts the formation energy without anion corrections at 0.13 eV per atom.

It has space group P4/mmm (No. 123), with a = 5.596 Å, b = 5.596 Å, c = 3.333 Å, α = 90.00°, β = 90.00° and γ = 90.00°. The asymmetric unit holds Sc at (0.000, 0.000, 0.000), Te at (0.000, 0.500, 0.500), P at (0.500, 0.500, 0.500) and N at (0.500, 0.500, 0.000).

[2]
Compound: SiTe2Au
Source: the Alexandria database
Functional: PBE
Structure: relaxed

As for the total magnetic moment: 0.00 μB/atom. The value obtained for the density of states at the Fermi level is 7.46 states/eV per cell. The calculation puts the formation energy without anion corrections at 0.14 eV per atom.

It has space group I-42d (No. 122), with a = 6.179 Å, b = 6.179 Å, c = 13.182 Å, α = 90.00°, β = 90.00° and γ = 90.00°. The asymmetric unit holds Si at (0.000, 0.000, 0.000), Te at (0.236, 0.250, 0.125) and Au at (0.000, 0.000, 0.500).

[3]
Compound: Rb3LaIr
Source: the Alexandria database
Functional: PBE
Structure: relaxed

As for the total magnetic moment: 0.29 μB/atom. The value obtained for the density of states at the Fermi level is 15.36 states/eV per cell. Its final energy is -1.5049 eV/atom.

It has space group Pm-3m (No. 221), with a = 7.017 Å, b = 7.017 Å, c = 7.017 Å, α = 90.00°, β = 90.00° and γ = 90.00°. The asymmetric unit holds Rb at (0.000, 0.000, 0.500), La at (0.000, 0.000, 0.000) and Ir at (0.500, 0.500, 0.500).